Crystalline LiPuNiO4 at its relaxed geometry, computed with PBE+U.

Output
**Final energy**: -7.429 eV per atom
**Space-group type**: Cmcm
**Total magnetic moment**: 5.0 μB/f.u.

Unit cell a=4.8222 b=4.8222 c=7.2515 alpha=90.00 beta=90.00 gamma=106.60
With the nearest neighbours (Å) after each atom.
Atoms (fractional coordinates):
O: 0.7617 0.2383 0.9885  1 Li 1.86, 1 Pu 1.91, 1 Ni 2.03
O: 0.2643 0.2856 0.7500  1 Li 1.92
O: 0.7617 0.2383 0.5115  1 Li 1.86, 1 Pu 1.91, 1 Ni 2.03
O: 0.2383 0.7617 0.4885  1 Li 1.86, 1 Pu 1.91, 1 Ni 2.03
Li: 0.1512 0.8488 0.2500  4 O 1.86-1.92
O: 0.7144 0.7357 0.7500  1 Li 1.92
Li: 0.8488 0.1512 0.7500  4 O 1.86-1.92
O: 0.7357 0.7144 0.2500  1 Li 1.92
Ni: 0.5000 0.5000 0.5000  6 O 2.03-2.23
O: 0.2383 0.7617 0.0115  1 Li 1.86, 1 Pu 1.91, 1 Ni 2.03
O: 0.2856 0.2643 0.2500  1 Li 1.92
Ni: 0.5000 0.5000 0.0000  6 O 2.03-2.23
Pu: 0.7885 0.2115 0.2500  2 O 1.91
Pu: 0.2115 0.7885 0.7500  2 O 1.91